The following is a DFT calculation (PBE) of crystalline NaSrTe3 at its relaxed geometry.

Properties
Uncorrected formation energy ... -257.1 meV per atom
Total moment ... 0.0 μB/cell

a b c (Å): 6.1770 6.1770 6.1770
angles (deg): 90.00 90.00 90.00
Space group Pm-3m (No. 221)
Symmetry-distinct sites (fractional):
Na1 0.0000 0.0000 0.0000
Sr1 0.5000 0.5000 0.5000
Te1 0.0000 0.5000 0.5000